No. 1
La2TcNi | PBE-GGA | relaxed

```
data_La2TcNi
_chemical_formula_sum 'La8 Tc4 Ni4'
_symmetry_space_group_name_H-M 'I -4 2 d'
_symmetry_Int_Tables_number 122
_symmetry_space_group_name_Hall 'I -4 2bw'
_cell_length_a 5.306
_cell_length_b 5.306
_cell_length_c 15.254
_cell_angle_alpha 90.00
_cell_angle_beta 90.00
_cell_angle_gamma 90.00
loop_
_atom_site_label
_atom_site_type_symbol
_atom_site_fract_x
_atom_site_fract_y
_atom_site_fract_z
La1 La 0.227 0.250 0.125
Tc1 Tc 0.000 0.000 0.000
Ni1 Ni 0.000 0.000 0.500
```

Results
ΔE_f: 2.4 eV per formula unit

No. 2
TaCoP2 | PBE-GGA | relaxed

```
data_TaCoP2
_chemical_formula_sum 'Ta4 Co4 P8'
_symmetry_space_group_name_H-M 'F m -3 m'
_symmetry_Int_Tables_number 225
_symmetry_space_group_name_Hall '-F 4 2 3'
_cell_length_a 5.966
_cell_length_b 5.966
_cell_length_c 5.966
_cell_angle_alpha 90.00
_cell_angle_beta 90.00
_cell_angle_gamma 90.00
loop_
_atom_site_label
_atom_site_type_symbol
_atom_site_fract_x
_atom_site_fract_y
_atom_site_fract_z
Ta1 Ta 0.000 0.000 0.000
Co1 Co 0.000 0.000 0.500
P1 P 0.250 0.250 0.250
```

Results
E above lowest polymorph: 0.2933 eV per atom
ΔE_f: -0.9 eV per formula unit

No. 3
UNbZn4 | PBE-GGA | relaxed

```
data_UNbZn4
_chemical_formula_sum 'U4 Nb4 Zn16'
_symmetry_space_group_name_H-M 'F -4 3 m'
_symmetry_Int_Tables_number 216
_symmetry_space_group_name_Hall 'F -4 2 3'
_cell_length_a 7.428
_cell_length_b 7.428
_cell_length_c 7.428
_cell_angle_alpha 90.00
_cell_angle_beta 90.00
_cell_angle_gamma 90.00
loop_
_atom_site_label
_atom_site_type_symbol
_atom_site_fract_x
_atom_site_fract_y
_atom_site_fract_z
U1 U 0.000 0.000 0.000
Nb1 Nb 0.250 0.250 0.750
Zn1 Zn 0.124 0.124 0.376
```

Results
ΔE_f: 0.4 eV per formula unit

No. 4
MnZnCo2 | PBE-GGA | relaxed

```
data_MnZnCo2
_chemical_formula_sum 'Mn1 Zn1 Co2'
_symmetry_space_group_name_H-M 'P 4/m m m'
_symmetry_Int_Tables_number 123
_symmetry_space_group_name_Hall '-P 4 2'
_cell_length_a 2.540
_cell_length_b 2.540
_cell_length_c 6.925
_cell_angle_alpha 90.00
_cell_angle_beta 90.00
_cell_angle_gamma 90.00
loop_
_atom_site_label
_atom_site_type_symbol
_atom_site_fract_x
_atom_site_fract_y
_atom_site_fract_z
Mn1 Mn 0.000 0.000 0.000
Zn1 Zn 0.000 0.000 0.500
Co1 Co 0.500 0.500 0.232
```

Results
ΔE_f: 0.1 eV per formula unit

No. 5
Ba4In2Pd | PBE-GGA | relaxed

```
data_Ba4In2Pd
_chemical_formula_sum 'Ba8 In4 Pd2'
_symmetry_space_group_name_H-M 'I 4/m m m'
_symmetry_Int_Tables_number 139
_symmetry_space_group_name_Hall '-I 4 2'
_cell_length_a 6.186
_cell_length_b 6.186
_cell_length_c 17.051
_cell_angle_alpha 90.00
_cell_angle_beta 90.00
_cell_angle_gamma 90.00
loop_
_atom_site_label
_atom_site_type_symbol
_atom_site_fract_x
_atom_site_fract_y
_atom_site_fract_z
Ba1 Ba 0.000 0.000 0.187
Ba2 Ba 0.000 0.500 0.000
In1 In 0.000 0.000 0.392
Pd1 Pd 0.000 0.000 0.000
```

Results
ΔE_f: -1.8 eV per formula unit

No. 6
BC3 | PBE-GGA | relaxed

```
data_BC3
_chemical_formula_sum 'B3 C9'
_symmetry_space_group_name_H-M 'P 1 m 1'
_symmetry_Int_Tables_number 6
_cell_length_a 3.702
_cell_length_b 2.569
_cell_length_c 7.926
_cell_angle_alpha 90.00
_cell_angle_beta 90.79
_cell_angle_gamma 90.00
loop_
_symmetry_equiv_pos_as_xyz
'x,y,z'
'x,-y,z'
loop_
_atom_site_label
_atom_site_type_symbol
_atom_site_fract_x
_atom_site_fract_y
_atom_site_fract_z
B1 B 0.000 0.000 0.000
B2 B 0.238 0.500 0.629
B3 B 0.670 0.000 0.768
C1 C 0.227 0.500 0.303
C2 C 0.242 0.500 0.974
C3 C 0.472 0.500 0.821
C4 C 0.477 0.500 0.144
C5 C 0.483 0.500 0.460
C6 C 0.717 0.000 0.145
C7 C 0.729 0.000 0.460
C8 C 0.951 0.000 0.625
C9 C 0.982 0.000 0.303
```

Results
E above lowest polymorph: 0.0352 eV per atom
ΔE_f: 1.1 eV per formula unit

No. 7
NbAlNi4 | PBE-GGA | relaxed

```
data_NbAlNi4
_chemical_formula_sum 'Nb2 Al2 Ni8'
_symmetry_space_group_name_H-M 'C 1 2/m 1'
_symmetry_Int_Tables_number 12
_cell_length_a 8.423
_cell_length_b 3.393
_cell_length_c 5.594
_cell_angle_alpha 90.00
_cell_angle_beta 109.34
_cell_angle_gamma 90.00
loop_
_symmetry_equiv_pos_as_xyz
'x,y,z'
'-x,-y,-z'
'-x,y,-z'
'x,-y,z'
'x+1/2,y+1/2,z'
'-x+1/2,-y+1/2,-z'
'-x+1/2,y+1/2,-z'
'x+1/2,-y+1/2,z'
loop_
_atom_site_label
_atom_site_type_symbol
_atom_site_fract_x
_atom_site_fract_y
_atom_site_fract_z
Nb1 Nb 0.000 0.000 0.000
Al1 Al 0.000 0.000 0.500
Ni1 Ni 0.164 0.500 0.340
Ni2 Ni 0.168 0.500 0.831
```

Results
E above lowest polymorph: 0.0146 eV per atom
ΔE_f: -2.0 eV per formula unit

No. 8
Tb3Er4Sc2 | PBE-GGA | relaxed

```
data_Tb3Er4Sc2
_chemical_formula_sum 'Tb12 Er16 Sc8'
_symmetry_space_group_name_H-M 'C 1 2/c 1'
_symmetry_Int_Tables_number 15
_cell_length_a 16.728
_cell_length_b 9.784
_cell_length_c 6.628
_cell_angle_alpha 90.00
_cell_angle_beta 93.85
_cell_angle_gamma 90.00
loop_
_symmetry_equiv_pos_as_xyz
'x,y,z'
'-x,-y,-z'
'-x,y,-z+1/2'
'x,-y,z+1/2'
'x+1/2,y+1/2,z'
'-x+1/2,-y+1/2,-z'
'-x+1/2,y+1/2,-z+1/2'
'x+1/2,-y+1/2,z+1/2'
loop_
_atom_site_label
_atom_site_type_symbol
_atom_site_fract_x
_atom_site_fract_y
_atom_site_fract_z
Tb1 Tb 0.000 0.012 0.250
Tb2 Tb 0.152 0.453 0.239
Er1 Er 0.016 0.317 0.515
Er2 Er 0.189 0.123 0.404
Sc1 Sc 0.166 0.213 0.886
```

Results
E above lowest polymorph: 0.0000 eV per atom
ΔE_f: 0.9 eV per formula unit

| no. | DOS at the Fermi energy (states/eV/cell) |
| --- | --- |
| 1 | 9.7 |
| 2 | 5.8 |
| 3 | 43.3 |
| 4 | 4.4 |
| 5 | 21.5 |
| 6 | 1.0 |
| 7 | 10.0 |
| 8 | 51.8 |